This record from the Alexandria database describes a geometry-optimized Li2DyMg9 structure. The functional is PBE.

Output
As for the total DFT energy (no corrections): -23.20 eV/f.u. Its total magnetization is 0.00 μB/atom.

Structure (CIF):
```
data_Li2DyMg9
_cell_length_a 4.5230
_cell_length_b 4.5230
_cell_length_c 13.6083
_cell_angle_alpha 90.00
_cell_angle_beta 90.00
_cell_angle_gamma 90.00
_symmetry_space_group_name_H-M 'P 4/m m m'
_symmetry_Int_Tables_number 123
_symmetry_space_group_name_Hall '-P 4 2'
loop_
_atom_site_label
_atom_site_type_symbol
_atom_site_fract_x
_atom_site_fract_y
_atom_site_fract_z
Li1 Li 0.0000 0.0000 0.1666
Dy1 Dy 0.0000 0.0000 0.5000
Mg1 Mg 0.0000 0.5000 0.0000
Mg2 Mg 0.0000 0.5000 0.3230
Mg3 Mg 0.5000 0.5000 0.1571
Mg4 Mg 0.5000 0.5000 0.5000
```